This record from Alexandria via LeMat-Bulk describes a relaxed Ta3Tl2WO12 crystal. The functional is GGA+U.

Summary:
- VASP energy: -147.27 eV per formula unit
- Fermi-level density of states: 0.690 states/eV/atom
- Symmetry: No. 166
- M_tot: 1.12 μB per formula unit

Cell lengths 7.4479, 7.4479, 7.4479 Å; angles 60.12, 60.12, 60.12 degrees
Fractional positions:
Ta1 0.0000 0.5000 0.5000
Ta2 0.5000 0.0000 0.5000
Ta3 0.5000 0.5000 0.0000
Tl1 0.1135 0.1135 0.1135
Tl2 0.8865 0.8865 0.8865
W1 0.5000 0.5000 0.5000
O1 0.1854 0.1854 0.5633
O2 0.1854 0.5633 0.1854
O3 0.1939 0.5605 0.5605
O4 0.4367 0.8146 0.8146
O5 0.4395 0.4395 0.8062
O6 0.4395 0.8062 0.4395
O7 0.5605 0.1938 0.5605
O8 0.5605 0.5605 0.1938
O9 0.5633 0.1854 0.1854
O10 0.8062 0.4395 0.4395
O11 0.8146 0.4367 0.8146
O12 0.8146 0.8146 0.4367